Version one
Here is an optimized crystal structure of Tm3Co2 from OQMD via LeMat-Bulk. Energies are from PBE.

abc: 6.7317 6.7317 9.1237
angles: 110.01 110.01 32.65
Atoms (fractional coordinates):
Tm1 0.1080 0.1080 0.1804
Tm2 0.3647 0.3647 0.1294
Tm3 0.3669 0.3669 0.5048
Tm4 0.6331 0.6331 0.4952
Tm5 0.6353 0.6353 0.8706
Tm6 0.8920 0.8920 0.8196
Co1 0.0355 0.0355 0.6419
Co2 0.2367 0.2367 0.7396
Co3 0.7633 0.7633 0.2604
Co4 0.9645 0.9645 0.3581

## Properties
SG: No. 12
magnetic moment: 0.25 μB/cell

Version two
Here is an optimized crystal structure of Tm3Co2 from OQMD via LeMat-Bulk. Energies are from PBE.

abc: 7.0754 7.0754 7.0754
angles: 55.04 55.04 55.04
Atoms (fractional coordinates):
Tm1 0.1055 0.7500 0.3945
Tm2 0.2500 0.6055 0.8945
Tm3 0.3945 0.1055 0.7500
Tm4 0.6055 0.8945 0.2500
Tm5 0.7500 0.3945 0.1055
Tm6 0.8945 0.2500 0.6055
Co1 0.1783 0.1783 0.1783
Co2 0.3217 0.3217 0.3217
Co3 0.6783 0.6783 0.6783
Co4 0.8217 0.8217 0.8217

## Properties
SG: No. 167
magnetic moment: 0.01 μB/cell

Energies relative to the most stable structure, in eV/atom: version one 0.000; version two 0.091.